Material: Tb2ErSi2
Method: DFT, PBE
State: optimized geometry

Lattice parameters (Å, degrees): 4.2410 7.4619 7.4619 90.00 90.00 90.00
Closest atoms and distances in Å follow each position.
Positions (direct):
Tb 0.5000 0.8239 0.3239  6 Si 3.05-3.08
Si 0.0000 0.8833 0.6167  1 Si 2.46
Si 0.0000 0.1167 0.3833  1 Si 2.46
Er 0.0000 0.0000 0.0000  4 Si 2.99
Tb 0.5000 0.3239 0.1761  6 Si 3.05-3.08
Tb 0.5000 0.1761 0.6761  6 Si 3.05-3.08
Er 0.0000 0.5000 0.5000  4 Si 2.99
Si 0.0000 0.3833 0.8833  1 Si 2.46
Si 0.0000 0.6167 0.1167  1 Si 2.46
Tb 0.5000 0.6761 0.8239  6 Si 3.05-3.08

Calculated values
VASP energy ... -5.654 eV per atom
Symmetry ... P4/mbm

=====

Material: CrGe2Br8
Method: DFT, PBE
State: optimized geometry

Lattice parameters (Å, degrees): 7.3026 7.6151 7.6151 93.81 80.68 80.68
Closest atoms and distances in Å follow each position.
Positions (direct):
Cr 0.0000 0.0000 0.0000  6 Br 2.49-2.53
Br 0.1791 0.2508 0.9238  1 Cr 2.53, 1 Ge 2.62
Br 0.2438 0.7877 0.7877  1 Cr 2.49
Br 0.7562 0.2123 0.2123  1 Cr 2.49
Ge 0.6019 0.8472 0.8472  3 Br 2.37-2.62
Br 0.2644 0.3843 0.3843  1 Ge 2.37
Br 0.8209 0.0762 0.7492  1 Cr 2.53, 1 Ge 2.62
Br 0.1791 0.9238 0.2508  1 Cr 2.53, 1 Ge 2.62
Br 0.7356 0.6157 0.6157  1 Ge 2.37
Br 0.8209 0.7492 0.0762  1 Cr 2.53, 1 Ge 2.62
Ge 0.3981 0.1528 0.1528  3 Br 2.37-2.62

Calculated values
VASP energy ... -3.462 eV per atom
Symmetry ... C2/m

=====

Material: LiTlAgCl3
Method: DFT, PBE
State: optimized geometry

Lattice parameters (Å, degrees): 3.9072 8.2988 10.0909 107.31 90.00 90.00
Closest atoms and distances in Å follow each position.
Positions (direct):
Tl 0.7500 0.7823 0.7732  7 Cl 3.16-3.47
Tl 0.2500 0.2177 0.2268  7 Cl 3.16-3.47
Cl 0.7500 0.8773 0.1325  1 Ag 2.56, 2 Li 2.65
Cl 0.7500 0.2370 0.4982  3 Ag 2.61-2.82
Li 0.7500 0.3463 0.9013  5 Cl 2.39-2.65
Cl 0.7500 0.4732 0.1476  3 Li 2.39-2.60
Cl 0.2500 0.7630 0.5018  3 Ag 2.61-2.82
Cl 0.2500 0.1227 0.8675  1 Ag 2.56, 2 Li 2.65
Ag 0.2500 0.1180 0.6129  4 Cl 2.56-2.82
Cl 0.2500 0.5268 0.8524  3 Li 2.39-2.60
Ag 0.7500 0.8820 0.3871  4 Cl 2.56-2.82
Li 0.2500 0.6537 0.0987  5 Cl 2.39-2.65

Calculated values
VASP energy ... -3.169 eV per atom
Symmetry ... P2_1/m

=====

Material: BaV2Os
Method: DFT, PBE
State: optimized geometry

Lattice parameters (Å, degrees): 4.6475 4.6475 4.6475 60.00 60.00 60.00
Closest atoms and distances in Å follow each position.
Positions (direct):
V 0.7500 0.7500 0.7500  4 Os 2.85, 4 Ba 2.85
V 0.2500 0.2500 0.2500  4 Os 2.85, 4 Ba 2.85
Ba 0.0000 0.0000 0.0000  8 V 2.85
Os 0.5000 0.5000 0.5000  8 V 2.85

Calculated values
Energy relative to the elements ... 1.0318 eV/atom
Symmetry ... Fm-3m

=====

Material: Sr4WBr
Method: DFT, PBE
State: optimized geometry

Lattice parameters (Å, degrees): 7.1859 7.1859 7.1859 60.00 60.00 60.00
Closest atoms and distances in Å follow each position.
Positions (direct):
Sr 0.3761 0.8717 0.3761  6 Sr 3.56-3.62
W 0.7500 0.7500 0.7500  12 Sr 4.21, 4 Br 4.40
Sr 0.8717 0.3761 0.3761  6 Sr 3.56-3.62
Sr 0.3761 0.3761 0.3761  6 Sr 3.56-3.62
Br 0.0000 0.0000 0.0000  12 Sr 4.22, 4 W 4.40
Sr 0.3761 0.3761 0.8717  6 Sr 3.56-3.62

Calculated values
VASP energy ... -2.545 eV per atom
Symmetry ... F-43m

=====

Material: AsS2O8
Method: DFT, PBE
State: optimized geometry

Lattice parameters (Å, degrees): 4.6301 6.2808 6.2808 72.04 82.91 82.91
Closest atoms and distances in Å follow each position.
Positions (direct):
O 0.2246 0.9542 0.2748  1 S 1.54
O 0.7754 0.7252 0.0458  1 S 1.54
As 0.0000 0.0000 0.0000  6 O 2.02-2.05
S 0.6575 0.8118 0.8118  4 O 1.42-1.54
O 0.7411 0.6709 0.6709  1 S 1.42
O 0.3240 0.8429 0.8429  1 S 1.53
O 0.7754 0.0458 0.7252  1 S 1.54
S 0.3425 0.1882 0.1882  4 O 1.42-1.54
O 0.6760 0.1571 0.1571  1 S 1.53
O 0.2246 0.2748 0.9542  1 S 1.54
O 0.2589 0.3291 0.3291  1 S 1.42

Calculated values
VASP energy ... -5.776 eV per atom
Symmetry ... C2/m